[1]
Tm6FeSb2: relaxed, PBEsol.

```
9
Lattice="7.9668 0.0000 0.0000 -3.9834 6.8995 0.0000 0.0000 0.0000 4.0121" Properties=species:S:1:pos:R:3 pbc="T T T"
Tm -1.5671 2.7143 0.0000
Tm -3.0552 5.2917 2.0060
Tm 0.9282 1.6077 2.0060
Tm 3.1342 0.0000 0.0000
Tm 2.4163 4.1852 0.0000
Tm 6.1104 0.0000 2.0060
Fe 0.0000 0.0000 0.0000
Sb 0.0000 4.5997 2.0060
Sb 3.9834 2.2998 2.0060
```

Results
crystal system: hexagonal
formation energy from raw total energies: -0.586 eV/atom

---

[2]
CrCoAsO2: relaxed, PBEsol.

```
5
Lattice="3.4631 0.0000 0.0000 0.0000 3.4631 0.0000 0.0000 0.0000 5.1949" Properties=species:S:1:pos:R:3 pbc="T T T"
Cr 0.0000 0.0000 0.0000
Co 0.0000 0.0000 2.5974
As 1.7316 1.7316 2.5974
O 0.0000 1.7316 0.0000
O 1.7316 0.0000 0.0000
```

Results
crystal system: tetragonal
formation energy from raw total energies: -0.571 eV/atom

---

[3]
Li2ReP: relaxed, PBEsol.

```
4
Lattice="3.0716 0.0000 0.0000 0.0000 3.0716 0.0000 0.0000 0.0000 5.5988" Properties=species:S:1:pos:R:3 pbc="T T T"
Li 0.0000 0.0000 0.0000
Li 1.5358 1.5358 1.4246
Re 1.5358 1.5358 4.0428
P 0.0000 0.0000 3.0000
```

Results
crystal system: tetragonal
DFT formation energy: -214 meV per atom

---

[4]
Rb2BePd: relaxed, PBEsol.

```
8
Lattice="-2.1257 2.1257 11.2246 2.1257 -2.1257 11.2246 2.1257 2.1257 -11.2246" Properties=species:S:1:pos:R:3 pbc="T T T"
Rb 3.1885 1.0557 -2.8061
Rb 1.0557 1.0628 2.8061
Rb -1.0628 1.0700 8.4184
Rb 1.0700 1.0628 14.0307
Be 2.1257 0.0000 5.6123
Be 0.0000 0.0000 11.2246
Pd 0.0000 0.0000 0.0000
Pd 0.0000 2.1257 5.6123
```

Results
crystal system: tetragonal
DFT formation energy: 1038 meV per atom

---

[5]
MgTaOs2: relaxed, PBEsol.

```
4
Lattice="4.3879 0.0000 0.0000 0.0000 4.3879 0.0000 0.0000 0.0000 3.1486" Properties=species:S:1:pos:R:3 pbc="T T T"
Mg 0.0000 0.0000 0.0000
Ta 2.1939 2.1939 0.0000
Os 0.0000 2.1939 1.5743
Os 2.1939 0.0000 1.5743
```

Results
crystal system: tetragonal
DFT formation energy: -87 meV per atom

---

[6]
InTc2Se: relaxed, PBEsol.

```
4
Lattice="-1.5428 2.1169 4.9809 1.5428 -2.1169 4.9809 1.5428 2.1169 -4.9809" Properties=species:S:1:pos:R:3 pbc="T T T"
In 0.0000 0.0000 0.0000
Tc 0.0000 0.0000 4.4854
Tc 0.0000 2.1169 1.9928
Se 1.5428 0.0000 2.5590
```

Results
crystal system: orthorhombic
formation energy from raw total energies: 0.299 eV/atom
distance to the lowest polymorph of the same formula: 0.00 eV/f.u.

---

Respective total energy values: -5.86; -7.29; -5.98; -1.96; -9.76; -7.04 eV per atom.
Respective magnetization values: 0.06; 0.18; 0.00; 0.00; 0.00; 0.00 Bohr magnetons per cell.